Entry 1:
DFT (GGA-PBE) results for a relaxed KCaZrBiO6 crystal.

Summary:
DFT total energy = -264.79 eV for the cell shown
DOS at the Fermi energy = 0.000 states/eV/cell
crystal system = cubic
formation energy (no corrections) = -2.092 eV per atom

Unit cell a=8.386 b=8.386 c=8.386 alpha=90.00 beta=90.00 gamma=90.00
Space group F-43m (No. 216)
Asymmetric unit:
1 K 0.000 0.000 0.000 [4 per cell]
2 Ca 0.000 0.000 0.500 [4 per cell]
3 Zr 0.250 0.250 0.750 [4 per cell]
4 Bi 0.250 0.250 0.250 [4 per cell]
5 O 0.001 0.250 0.750 [24 per cell]

---

Entry 2:
DFT (GGA-PBE) results for a relaxed KCaBiPb crystal.

Summary:
energy relative to the elements = -0.322 eV/atom
DFT total energy = -47.91 eV for the cell shown
DOS at the Fermi energy = 13.226 states/eV/cell
crystal system = cubic

Unit cell a=8.125 b=8.125 c=8.125 alpha=90.00 beta=90.00 gamma=90.00
Space group F-43m (No. 216)
Asymmetric unit:
1 K 0.000 0.000 0.000 [4 per cell]
2 Ca 0.000 0.000 0.500 [4 per cell]
3 Bi 0.250 0.250 0.750 [4 per cell]
4 Pb 0.250 0.250 0.250 [4 per cell]

---

Entry 3:
DFT (GGA-PBE) results for a relaxed K3CaBi2S6 crystal.

Summary:
DFT total energy = -99.58 eV for the cell shown
DOS at the Fermi energy = 19.926 states/eV/cell
crystal system = monoclinic
formation energy (no corrections) = -0.997 eV per atom

Unit cell a=7.148 b=12.381 c=7.810 alpha=90.00 beta=107.77 gamma=90.00
Space group C2/m (No. 12)
Asymmetric unit:
1 K 0.000 0.000 0.000 [2 per cell]
2 K 0.000 0.333 0.000 [4 per cell]
3 Ca 0.000 0.500 0.500 [2 per cell]
4 Bi 0.000 0.167 0.500 [4 per cell]
5 S 0.231 0.000 0.708 [4 per cell]
6 S 0.238 0.331 0.708 [8 per cell]

---

Entry 4:
DFT (GGA-PBE) results for a relaxed K2CaScBi crystal.

Summary:
energy relative to the elements = 0.798 eV/atom
DFT total energy = -10.42 eV for the cell shown
DOS at the Fermi energy = 5.524 states/eV/cell
crystal system = tetragonal

Unit cell a=6.214 b=6.214 c=6.132 alpha=90.00 beta=90.00 gamma=90.00
Space group P4/mmm (No. 123)
Asymmetric unit:
1 K 0.000 0.500 0.000 [2 per cell]
2 Ca 0.000 0.000 0.500 [1 per cell]
3 Sc 0.000 0.000 0.000 [1 per cell]
4 Bi 0.500 0.500 0.500 [1 per cell]